[1]
# H2Pt

A relaxed structure of H2Pt (PBE-GGA, OQMD via LeMat-Bulk).

The structure belongs to space group Pnma (No. 62); the cell edges are 8.5113, 2.8116 and 4.4815 Å and the angles 90.00°, 90.00° and 90.00°. The distinct sites, in fractional coordinates, are H at (0.0305, 0.2500, 0.2070), H at (0.2209, 0.7500, 0.4580) and Pt at (0.1486, 0.7500, 0.0757).

The crystal system is orthorhombic. Its total energy is -4.17 eV per atom.

***

[2]
# La3HgN

A relaxed structure of La3HgN (PBE-GGA, OQMD via LeMat-Bulk).

The structure belongs to space group Pm-3m (No. 221); the cell edges are 5.0973, 5.0973 and 5.0973 Å and the angles 90.00°, 90.00° and 90.00°. The distinct sites, in fractional coordinates, are La at (0.0000, 0.0000, 0.5000), Hg at (0.5000, 0.5000, 0.5000) and N at (0.0000, 0.0000, 0.0000).

The crystal system is cubic. Its total energy is -5.48 eV per atom.

***

[3]
# PrAsPO

A relaxed structure of PrAsPO (PBE-GGA, OQMD via LeMat-Bulk).

The structure belongs to space group Pmc2_1 (No. 26); the cell edges are 5.3263, 7.0603 and 5.9571 Å and the angles 90.00°, 90.00° and 90.00°. The distinct sites, in fractional coordinates, are Pr at (0.0000, 0.1835, 0.0000), As at (0.5000, 0.3238, 0.5990), P at (0.5000, 0.3719, 0.9810) and O at (0.0000, 0.0893, 0.3420).

The crystal system is orthorhombic. Its total energy is -6.16 eV per atom.

***

[4]
# KLaEr

A relaxed structure of KLaEr (PBE-GGA, OQMD via LeMat-Bulk).

The structure belongs to space group F-43m (No. 216); the cell edges are 8.3627, 8.3627 and 8.3627 Å and the angles 90.00°, 90.00° and 90.00°. The distinct sites, in fractional coordinates, are K at (0.0000, 0.0000, 0.0000), La at (0.0000, 0.0000, 0.5000) and Er at (0.2500, 0.2500, 0.2500).

The crystal system is cubic. Its total energy is -2.44 eV per atom.

***

[5]
# LaHf2Si2

A relaxed structure of LaHf2Si2 (PBE-GGA, OQMD via LeMat-Bulk).

The structure belongs to space group P4/mbm (No. 127); the cell edges are 7.6114, 7.6114 and 3.5105 Å and the angles 90.00°, 90.00° and 90.00°. The distinct sites, in fractional coordinates, are La at (0.0000, 0.0000, 0.0000), Hf at (0.1697, 0.3303, 0.5000) and Si at (0.1173, 0.6173, 0.0000).

The crystal system is tetragonal. Its total energy is -7.64 eV per atom.

***

[6]
# PrNdH4

A relaxed structure of PrNdH4 (PBE-GGA, OQMD via LeMat-Bulk).

The structure belongs to space group P4/mmm (No. 123); the cell edges are 3.8804, 3.8804 and 5.4922 Å and the angles 90.00°, 90.00° and 90.00°. The distinct sites, in fractional coordinates, are Pr at (0.0000, 0.0000, 0.0000), Nd at (0.5000, 0.5000, 0.5000) and H at (0.0000, 0.5000, 0.2517).

The crystal system is tetragonal. Its total energy is -4.46 eV per atom.

***

[7]
# La2Sm2CCl5

A relaxed structure of La2Sm2CCl5 (PBE-GGA, OQMD via LeMat-Bulk).

The structure belongs to space group C2/m (No. 12); the cell edges are 17.8274, 3.8727 and 8.0004 Å and the angles 90.00°, 105.28° and 90.00°. The distinct sites, in fractional coordinates, are La at (0.1499, 0.0000, 0.0909), Sm at (0.0010, 0.5000, 0.7871), C at (0.0000, 0.0000, 0.0000), Cl at (0.0000, 0.0000, 0.5000), Cl at (0.1600, 0.5000, 0.3595) and Cl at (0.1662, 0.5000, 0.8275).

The crystal system is monoclinic. Its total energy is -5.50 eV per atom.

***

[8]
# YHfPbC

A relaxed structure of YHfPbC (PBE-GGA, OQMD via LeMat-Bulk).

The structure belongs to space group P6_3mc (No. 186); the cell edges are 3.4800, 3.4800 and 15.4669 Å and the angles 90.00°, 90.00° and 120.00°. The distinct sites, in fractional coordinates, are Y at (0.3333, 0.6667, 0.0000), Hf at (0.3333, 0.6667, 0.6650), Pb at (0.3333, 0.6667, 0.3265) and C at (0.0000, 0.0000, 0.0954).

The crystal system is hexagonal. Its total energy is -7.93 eV per atom.

***

[9]
# PuAl4Ir

A relaxed structure of PuAl4Ir (PBE-GGA, OQMD via LeMat-Bulk).

The structure belongs to space group Pmma (No. 51); the cell edges are 7.7065, 4.1289 and 6.8914 Å and the angles 90.00°, 90.00° and 90.00°. The distinct sites, in fractional coordinates, are Pu at (0.2500, 0.0000, 0.1260), Al at (0.0000, 0.0000, 0.5000), Al at (0.0623, 0.5000, 0.8115), Al at (0.2500, 0.5000, 0.4508) and Ir at (0.2500, 0.0000, 0.7059).

The crystal system is orthorhombic. Its total energy is -6.94 eV per atom.

***

[10]
# HfTaCuPb

A relaxed structure of HfTaCuPb (PBE-GGA, OQMD via LeMat-Bulk).

The structure belongs to space group F-43m (No. 216); the cell edges are 6.8054, 6.8054 and 6.8054 Å and the angles 90.00°, 90.00° and 90.00°. The distinct sites, in fractional coordinates, are Hf at (0.0000, 0.0000, 0.0000), Ta at (0.2500, 0.2500, 0.2500), Cu at (0.2500, 0.2500, 0.7500) and Pb at (0.0000, 0.0000, 0.5000).

The crystal system is cubic. Its total energy is -6.72 eV per atom.

***

[11]
# SmLuZnTe3

A relaxed structure of SmLuZnTe3 (PBE-GGA, OQMD via LeMat-Bulk).

The structure belongs to space group Cmcm (No. 63); the cell edges are 4.1552, 14.9562 and 10.5667 Å and the angles 90.00°, 90.00° and 90.00°. The distinct sites, in fractional coordinates, are Sm at (0.0000, 0.2227, 0.2500), Lu at (0.0000, 0.0000, 0.0000), Zn at (0.0000, 0.4739, 0.7500), Te at (0.0000, 0.1113, 0.7500) and Te at (0.0000, 0.3510, 0.5439).

The crystal system is orthorhombic. Its total energy is -4.25 eV per atom.

***

[12]
# YAgTeO

A relaxed structure of YAgTeO (PBE-GGA, OQMD via LeMat-Bulk).

The structure belongs to space group Pmc2_1 (No. 26); the cell edges are 4.4264, 6.5963 and 6.8760 Å and the angles 90.00°, 90.00° and 90.00°. The distinct sites, in fractional coordinates, are Y at (0.0000, 0.1315, 0.0000), Ag at (0.5000, 0.2546, 0.6198), Te at (0.5000, 0.3345, 0.2243) and O at (0.0000, 0.1180, 0.6918).

The crystal system is orthorhombic. Its total energy is -5.77 eV per atom.

***

[13]
# Rb2FeAuCl6

A relaxed structure of Rb2FeAuCl6 (PBE-GGA, OQMD via LeMat-Bulk).

The structure belongs to space group Fm-3m (No. 225); the cell edges are 10.1274, 10.1274 and 10.1274 Å and the angles 90.00°, 90.00° and 90.00°. The distinct sites, in fractional coordinates, are Rb at (0.2500, 0.2500, 0.2500), Fe at (0.0000, 0.0000, 0.0000), Au at (0.0000, 0.0000, 0.5000) and Cl at (0.0000, 0.0000, 0.2378).

The crystal system is cubic. Its total energy is -3.54 eV per atom.

***

[14]
# CsLiNiW

A relaxed structure of CsLiNiW (PBE-GGA, OQMD via LeMat-Bulk).

The structure belongs to space group F-43m (No. 216); the cell edges are 6.7782, 6.7782 and 6.7782 Å and the angles 90.00°, 90.00° and 90.00°. The distinct sites, in fractional coordinates, are Cs at (0.0000, 0.0000, 0.0000), Li at (0.0000, 0.0000, 0.5000), Ni at (0.2500, 0.2500, 0.7500) and W at (0.2500, 0.2500, 0.2500).

The crystal system is cubic. Its total energy is -3.33 eV per atom.

***

[15]
# LaDyPO

A relaxed structure of LaDyPO (PBE-GGA, OQMD via LeMat-Bulk).

The structure belongs to space group P4/nmm (No. 129, origin choice 2); the cell edges are 4.4167, 4.4167 and 9.0192 Å and the angles 90.00°, 90.00° and 90.00°. The distinct sites, in fractional coordinates, are La at (0.2500, 0.2500, 0.1143), Dy at (0.2500, 0.7500, 0.5000), P at (0.2500, 0.2500, 0.6839) and O at (0.2500, 0.7500, 0.0000).

The crystal system is tetragonal. Its total energy is -6.99 eV per atom.

***

[16]
# LaBeCo

A relaxed structure of LaBeCo (PBE-GGA, OQMD via LeMat-Bulk).

The structure belongs to space group F-43m (No. 216); the cell edges are 6.1971, 6.1971 and 6.1971 Å and the angles 90.00°, 90.00° and 90.00°. The distinct sites, in fractional coordinates, are La at (0.0000, 0.0000, 0.0000), Be at (0.0000, 0.0000, 0.5000) and Co at (0.2500, 0.2500, 0.7500).

The crystal system is cubic. Its total energy is -4.94 eV per atom.

***

[17]
# TbDy2In3Ni2Au

A relaxed structure of TbDy2In3Ni2Au (PBE-GGA, OQMD via LeMat-Bulk).

The structure belongs to space group Amm2 (No. 38); the cell edges are 3.9206, 13.0376 and 7.5265 Å and the angles 90.00°, 90.00° and 90.00°. The distinct sites, in fractional coordinates, are Tb at (0.0000, 0.0000, 0.0000), Dy at (0.0000, 0.2046, 0.6137), In at (0.5000, 0.0000, 0.6817), In at (0.5000, 0.1365, 0.2732), Ni at (0.5000, 0.1670, 0.9092) and Au at (0.0000, 0.0000, 0.4097).

The crystal system is orthorhombic. Its total energy is -4.60 eV per atom.

***

[18]
# TbGdHg6

A relaxed structure of TbGdHg6 (PBE-GGA, OQMD via LeMat-Bulk).

The structure belongs to space group P-6m2 (No. 187); the cell edges are 6.6132, 6.6132 and 5.0124 Å and the angles 90.00°, 90.00° and 120.00°. The distinct sites, in fractional coordinates, are Tb at (0.0000, 0.0000, 0.0000), Gd at (0.3333, 0.6667, 0.5000), Hg at (0.3339, 0.1670, 0.5000) and Hg at (0.5005, 0.0010, 0.0000).

As for the formation energy: -0.36 eV/atom. The crystal system is hexagonal. Its total energy is -1.75 eV per atom.

***

[19]
# BaNbCuPt

A relaxed structure of BaNbCuPt (PBE-GGA, OQMD via LeMat-Bulk).

The structure belongs to space group F-43m (No. 216); the cell edges are 6.8081, 6.8081 and 6.8081 Å and the angles 90.00°, 90.00° and 90.00°. The distinct sites, in fractional coordinates, are Ba at (0.0000, 0.0000, 0.0000), Nb at (0.2500, 0.2500, 0.2500), Cu at (0.0000, 0.0000, 0.5000) and Pt at (0.2500, 0.2500, 0.7500).

The crystal system is cubic. Its total energy is -4.77 eV per atom.

***

[20]
# TaNbAg2S6

A relaxed structure of TaNbAg2S6 (PBE-GGA, OQMD via LeMat-Bulk).

The structure belongs to space group Fm-3m (No. 225); the cell edges are 9.6256, 9.6256 and 9.6256 Å and the angles 90.00°, 90.00° and 90.00°. The distinct sites, in fractional coordinates, are Ta at (0.0000, 0.0000, 0.0000), Nb at (0.0000, 0.0000, 0.5000), Ag at (0.2500, 0.2500, 0.2500) and S at (0.0000, 0.0000, 0.2492).

The crystal system is cubic. Its total energy is -5.45 eV per atom.

***

[21]
# Li6SbAu

A relaxed structure of Li6SbAu (PBE-GGA, OQMD via LeMat-Bulk).

The structure belongs to space group P4/mmm (No. 123); the cell edges are 4.4108, 4.4108 and 6.3664 Å and the angles 90.00°, 90.00° and 90.00°. The distinct sites, in fractional coordinates, are Li at (0.0000, 0.0000, 0.0000), Li at (0.0000, 0.5000, 0.2430), Li at (0.5000, 0.5000, 0.5000), Sb at (0.0000, 0.0000, 0.5000) and Au at (0.5000, 0.5000, 0.0000).

The crystal system is tetragonal. Its total energy is -2.83 eV per atom.

***

[22]
# Nd2Tc3Ge5

A relaxed structure of Nd2Tc3Ge5 (PBE-GGA, OQMD via LeMat-Bulk).

The structure belongs to space group Ibam (No. 72); the cell edges are 10.0227, 12.8723 and 5.8347 Å and the angles 90.00°, 90.00° and 90.00°. The distinct sites, in fractional coordinates, are Nd at (0.2375, 0.1352, 0.0000), Tc at (0.0000, 0.5000, 0.2500), Tc at (0.0855, 0.1492, 0.5000), Ge at (0.0000, 0.0000, 0.2500), Ge at (0.0000, 0.2929, 0.2500) and Ge at (0.1811, 0.4084, 0.0000).

The crystal system is orthorhombic. Its total energy is -6.86 eV per atom.

***

[23]
# LiTaBe

A relaxed structure of LiTaBe (PBE-GGA, OQMD via LeMat-Bulk).

The structure belongs to space group F-43m (No. 216); the cell edges are 5.7344, 5.7344 and 5.7344 Å and the angles 90.00°, 90.00° and 90.00°. The distinct sites, in fractional coordinates, are Li at (0.0000, 0.0000, 0.0000), Ta at (0.2500, 0.2500, 0.7500) and Be at (0.0000, 0.0000, 0.5000).

The crystal system is cubic. Its total energy is -4.52 eV per atom.

***

[24]
# TmCd3Sn4O12

A relaxed structure of TmCd3Sn4O12 (PBE-GGA, OQMD via LeMat-Bulk).

The structure belongs to space group Im-3 (No. 204); the cell edges are 7.9831, 7.9831 and 7.9831 Å and the angles 90.00°, 90.00° and 90.00°. The distinct sites, in fractional coordinates, are Tm at (0.0000, 0.0000, 0.0000), Cd at (0.0000, 0.0000, 0.5000), Sn at (0.2500, 0.2500, 0.2500) and O at (0.0000, 0.1814, 0.2835).

The crystal system is cubic. Its total energy is -5.72 eV per atom.